1.
DFT (PBE) results for a relaxed structure of KUAlS4.

The space group is P2_1/m (No. 11) and the conventional cell measures 6.498, 6.650 and 8.848 Å, with angles of 90.00, 108.13 and 90.00 degrees. The asymmetric unit holds K at (0.232, 0.250, 0.441), U at (0.279, 0.250, 0.949), Al at (0.264, 0.750, 0.167), S at (0.041, 0.750, 0.917), S at (0.059, 0.750, 0.326) and S at (0.494, 0.505, 0.797).

For the uncorrected formation energy, the calculation gives -8.98 eV per formula unit. As for the uncorrected energy: -5.946 eV/atom.

2.
DFT (PBE) results for a relaxed structure of Pr7CuBr12.

The space group is R-3 (No. 148, hexagonal axes) and the conventional cell measures 15.4777, 15.4777 and 10.1830 Å, with angles of 90.00, 90.00 and 120.00 degrees. The asymmetric unit holds Pr at (0.0000, 0.0000, 0.0000), Pr at (0.0438, 0.1662, 0.3382), Cu at (0.0000, 0.0000, 0.5000), Br at (0.0276, 0.5864, 0.1626) and Br at (0.0488, 0.1837, 0.8444).

For the uncorrected formation energy, the calculation gives -30.96 eV per formula unit. As for the uncorrected energy: -4.430 eV/atom.

3.
DFT (PBE) results for a relaxed structure of KGePb2Cl8.

The space group is P2/m (No. 10) and the conventional cell measures 6.499, 8.707 and 6.708 Å, with angles of 90.00, 91.43 and 90.00 degrees. The asymmetric unit holds K at (0.000, 0.000, 0.000), Ge at (0.000, 0.500, 0.000), Pb at (0.500, 0.257, 0.500), Cl at (0.214, 0.297, 0.166), Cl at (0.242, 0.500, 0.708) and Cl at (0.284, 0.000, 0.646).

For the uncorrected formation energy, the calculation gives -13.32 eV per formula unit. As for the uncorrected energy: -3.436 eV/atom.

4.
DFT (PBE) results for a relaxed structure of Mg6Ag5Ir.

The space group is C2/m (No. 12) and the conventional cell measures 14.562, 6.727 and 4.613 Å, with angles of 90.00, 108.19 and 90.00 degrees. The asymmetric unit holds Mg at (0.000, 0.229, 0.000), Mg at (0.160, 0.240, 0.660), Ag at (0.000, 0.500, 0.500), Ag at (0.167, 0.500, 0.166), Ag at (0.173, 0.000, 0.175) and Ir at (0.000, 0.000, 0.500).

The value obtained for the energy of formation is -0.259 eV/atom. As for the uncorrected energy: -2.983 eV/atom.

5.
DFT (PBE) results for a relaxed structure of Zn2GeBr6.

The space group is C2/c (No. 15) and the conventional cell measures 14.394, 13.149 and 6.995 Å, with angles of 90.00, 113.30 and 90.00 degrees. The asymmetric unit holds Zn at (0.210, 0.091, 0.131), Ge at (0.000, 0.264, 0.750), Br at (0.107, 0.406, 0.666), Br at (0.125, 0.240, 0.175) and Br at (0.153, 0.067, 0.752).

For the uncorrected formation energy, the calculation gives -6.67 eV per formula unit. As for the uncorrected energy: -2.652 eV/atom.

6.
DFT (PBE) results for a relaxed structure of LaZr2Au.

The space group is P4/mmm (No. 123) and the conventional cell measures 3.463, 3.463 and 7.989 Å, with angles of 90.00, 90.00 and 90.00 degrees. The asymmetric unit holds La at (0.000, 0.000, 0.000), Zr at (0.500, 0.500, 0.289) and Au at (0.000, 0.000, 0.500).

The value obtained for the energy of formation is -0.158 eV/atom. As for the uncorrected energy: -6.483 eV/atom. For the excess energy over the best structure of this formula in the dataset, the calculation gives 0.127 eV per atom.